An optimized crystal structure of Pu3Ge2Rh, computed with GGA-PBE.

Unit cell a=3.5195 b=8.9974 c=7.6725 alpha=83.32 beta=76.74 gamma=78.72
Positions (direct):
Pu (0.9877, 0.1186, 0.9061)
Pu (0.0123, 0.8814, 0.0939)
Pu (0.6561, 0.7520, 0.9358)
Pu (0.3439, 0.2480, 0.0642)
Pu (0.7478, 0.9326, 0.5717)
Pu (0.2522, 0.0674, 0.4283)
Ge (0.8769, 0.4408, 0.8054)
Ge (0.1231, 0.5592, 0.1946)
Ge (0.5503, 0.2693, 0.6301)
Ge (0.4497, 0.7307, 0.3699)
Rh (0.3604, 0.6054, 0.6737)
Rh (0.6396, 0.3946, 0.3263)

Energy above the most stable polymorph in this dataset ... 2.12 eV per formula unit
Energy of formation from the pure elements ... -0.7 eV per formula unit
D(E_F) ... 21.1 states/eV/cell

An optimized crystal structure of Ba12Cd3Br5, computed with GGA-PBE.

Unit cell a=17.4827 b=17.4827 c=17.4827 alpha=109.47 beta=109.47 gamma=109.47
Positions (direct):
Cd (0.7500, 0.3750, 0.1250)
Cd (0.8750, 0.7500, 0.1250)
Cd (0.3750, 0.7500, 0.6250)
Cd (0.2500, 0.1250, 0.3750)
Cd (0.8750, 0.1250, 0.2500)
Cd (0.3750, 0.6250, 0.2500)
Cd (0.6250, 0.3750, 0.7500)
Cd (0.1250, 0.8750, 0.7500)
Cd (0.7500, 0.8750, 0.6250)
Cd (0.6250, 0.2500, 0.3750)
Cd (0.1250, 0.2500, 0.8750)
Cd (0.2500, 0.6250, 0.8750)
Br (0.1250, 0.3750, 0.2500)
Br (0.0000, 0.5000, 0.0000)
Br (0.0000, 0.0000, 0.0000)
Br (0.3750, 0.2500, 0.1250)
Br (0.5000, 0.0000, 0.5000)
Br (0.5000, 0.5000, 0.0000)
Br (0.1250, 0.7500, 0.3750)
Br (0.7500, 0.1250, 0.8750)
Br (0.7500, 0.6250, 0.3750)
Br (0.3750, 0.1250, 0.7500)
Br (0.6250, 0.8750, 0.2500)
Br (0.5000, 0.5000, 0.5000)
Br (0.5000, 0.0000, 0.0000)
Br (0.0000, 0.0000, 0.5000)
Br (0.2500, 0.3750, 0.6250)
Br (0.2500, 0.8750, 0.1250)
Br (0.0000, 0.5000, 0.5000)
Br (0.8750, 0.2500, 0.6250)
Br (0.6250, 0.7500, 0.8750)
Br (0.8750, 0.6250, 0.7500)
Ba (0.7229, 0.1292, 0.0469)
Ba (0.3240, 0.5469, 0.4177)
Ba (0.9531, 0.3708, 0.2771)
Ba (0.5469, 0.2229, 0.1292)
Ba (0.5937, 0.7229, 0.6760)
Ba (0.9531, 0.5823, 0.1760)
Ba (0.3240, 0.7771, 0.4063)
Ba (0.0823, 0.9063, 0.1292)
Ba (0.5823, 0.9531, 0.6760)
Ba (0.7229, 0.5937, 0.1760)
Ba (0.7771, 0.4531, 0.3708)
Ba (0.8240, 0.9177, 0.0469)
Ba (0.1292, 0.7229, 0.5469)
Ba (0.3708, 0.4177, 0.0937)
Ba (0.0937, 0.9177, 0.3708)
Ba (0.4063, 0.1292, 0.5823)
Ba (0.0937, 0.1760, 0.2229)
Ba (0.4531, 0.6760, 0.0823)
Ba (0.8240, 0.9063, 0.2771)
Ba (0.1292, 0.4063, 0.0823)
Ba (0.3708, 0.9531, 0.7771)
Ba (0.5823, 0.6292, 0.4063)
Ba (0.9177, 0.8240, 0.5469)
Ba (0.7771, 0.3240, 0.9063)
Ba (0.4177, 0.3708, 0.5937)
Ba (0.0823, 0.1760, 0.4531)
Ba (0.2229, 0.6760, 0.0937)
Ba (0.1760, 0.0937, 0.7229)
Ba (0.6292, 0.0469, 0.2229)
Ba (0.8708, 0.5937, 0.9177)
Ba (0.5469, 0.3240, 0.9177)
Ba (0.5937, 0.8708, 0.4177)
Ba (0.9063, 0.8240, 0.7771)
Ba (0.9063, 0.0823, 0.6292)
Ba (0.8708, 0.2771, 0.4531)
Ba (0.1760, 0.0823, 0.9531)
Ba (0.6292, 0.5823, 0.9063)
Ba (0.4177, 0.0469, 0.3240)
Ba (0.2771, 0.4063, 0.8240)
Ba (0.2229, 0.5469, 0.6292)
Ba (0.9177, 0.0937, 0.8708)
Ba (0.6760, 0.2229, 0.5937)
Ba (0.4531, 0.7771, 0.8708)
Ba (0.0469, 0.4177, 0.8240)
Ba (0.4063, 0.2771, 0.3240)
Ba (0.0469, 0.6292, 0.7229)
Ba (0.6760, 0.4531, 0.5823)
Ba (0.2771, 0.8708, 0.9531)

E_form (uncorrected) ... -73.4 kJ per mole of atoms
D(E_F) ... 99.7 states/eV/cell

So what do the calculations give for raw total energy? Going down the list: -10.04 -2.47 eV per atom.